No. 1
The following is a DFT calculation (GGA-PBE) of a relaxed Sc2InRh3 crystal.

Its space group is P4/mmm. The value obtained for the electronic total energy is -7.0986 eV per atom.

abc: 3.2455 3.2455 9.5864
angles: 90.00 90.00 90.00
Last column: nearest neighbours and their distance in Å.
Fractional positions:
Sc: 0.5000 0.5000 0.8323  8 Rh 2.77-2.80
Sc: 0.5000 0.5000 0.1677  8 Rh 2.77-2.80
In: 0.5000 0.5000 0.5000  8 Rh 2.81
Rh: 0.0000 0.0000 0.0000  8 Sc 2.80
Rh: 0.0000 0.0000 0.6700  4 Sc 2.77, 4 In 2.81
Rh: 0.0000 0.0000 0.3300  4 Sc 2.77, 4 In 2.81

No. 2
The following is a DFT calculation (GGA-PBE) of a relaxed ScIn3Rh crystal.

Its space group is Pm-3m. The value obtained for the electronic total energy is -4.3666 eV per atom.

abc: 5.0515 5.0515 5.0515
angles: 90.00 90.00 90.00
Last column: nearest neighbours and their distance in Å.
Fractional positions:
Sc: 0.5000 0.5000 0.5000  12 In 3.57
Rh: 0.0000 0.0000 0.0000  6 In 2.53
In: 0.0000 0.5000 0.0000  2 Rh 2.53
In: 0.0000 0.0000 0.5000  2 Rh 2.53
In: 0.5000 0.0000 0.0000  2 Rh 2.53

No. 3
The following is a DFT calculation (GGA-PBE) of a relaxed ScIn4Rh5 crystal.

Its space group is P4/mmm. The value obtained for the electronic total energy is -5.9679 eV per atom.

abc: 3.2612 3.2612 15.8948
angles: 90.00 90.00 90.00
Last column: nearest neighbours and their distance in Å.
Fractional positions:
Sc: 0.0000 0.0000 0.0000  8 Rh 2.79
In: 0.0000 0.0000 0.1987  8 Rh 2.80-2.81
In: 0.0000 0.0000 0.3995  8 Rh 2.80-2.81
In: 0.0000 0.0000 0.6005  8 Rh 2.80-2.81
In: 0.0000 0.0000 0.8013  8 Rh 2.80-2.81
Rh: 0.5000 0.5000 0.0984  4 Sc 2.79, 4 In 2.80
Rh: 0.5000 0.5000 0.2995  8 In 2.80-2.81
Rh: 0.5000 0.5000 0.5000  8 In 2.81
Rh: 0.5000 0.5000 0.7005  8 In 2.80-2.81
Rh: 0.5000 0.5000 0.9016  4 Sc 2.79, 4 In 2.80

No. 4
The following is a DFT calculation (GGA-PBE) of a relaxed Sc2In2Rh crystal.

Its space group is P4/mbm. The value obtained for the electronic total energy is -5.4712 eV per atom.

abc: 7.1559 7.1559 4.1540
angles: 90.00 90.00 90.00
Last column: nearest neighbours and their distance in Å.
Fractional positions:
Sc: 0.1672 0.6672 0.5000  6 In 2.85-3.03
Sc: 0.6672 0.8328 0.5000  6 In 2.85-3.03
Sc: 0.8328 0.3328 0.5000  6 In 2.85-3.03
Sc: 0.3328 0.1672 0.5000  6 In 2.85-3.03
Rh: 0.0000 0.0000 0.0000  4 In 2.76
Rh: 0.5000 0.5000 0.0000  4 In 2.76
In: 0.3596 0.8596 0.0000  2 Rh 2.76, 1 In 2.84, 6 Sc 2.85-3.03
In: 0.8596 0.6404 0.0000  2 Rh 2.76, 1 In 2.84, 6 Sc 2.85-3.03
In: 0.6404 0.1404 0.0000  2 Rh 2.76, 1 In 2.84, 6 Sc 2.85-3.03
In: 0.1404 0.3596 0.0000  2 Rh 2.76, 1 In 2.84, 6 Sc 2.85-3.03

No. 5
The following is a DFT calculation (GGA-PBE) of a relaxed Sc3InRh crystal.

Its space group is Pm-3m. The value obtained for the electronic total energy is -6.3168 eV per atom.

abc: 6.7773 6.7773 6.7773
angles: 90.00 90.00 90.00
Last column: nearest neighbours and their distance in Å.
Fractional positions:
Sc: 0.5000 0.5000 0.5000  8 Sc 3.18, 6 In 3.39
Sc: 0.2294 0.2294 0.2294  3 Rh 2.86, 3 In 3.02, 4 Sc 3.11-3.18
Sc: 0.7706 0.7706 0.2294  3 Rh 2.86, 3 In 3.02, 4 Sc 3.11-3.18
Sc: 0.7706 0.2294 0.7706  3 Rh 2.86, 3 In 3.02, 4 Sc 3.11-3.18
Sc: 0.2294 0.7706 0.7706  3 Rh 2.86, 3 In 3.02, 4 Sc 3.11-3.18
Sc: 0.2294 0.2294 0.7706  3 Rh 2.86, 3 In 3.02, 4 Sc 3.11-3.18
Sc: 0.7706 0.7706 0.7706  3 Rh 2.86, 3 In 3.02, 4 Sc 3.11-3.18
Sc: 0.2294 0.7706 0.2294  3 Rh 2.86, 3 In 3.02, 4 Sc 3.11-3.18
Sc: 0.7706 0.2294 0.2294  3 Rh 2.86, 3 In 3.02, 4 Sc 3.11-3.18
In: 0.0000 0.5000 0.5000  8 Sc 3.02
In: 0.5000 0.0000 0.5000  8 Sc 3.02
In: 0.5000 0.5000 0.0000  8 Sc 3.02
Rh: 0.5000 0.0000 0.0000  8 Sc 2.86
Rh: 0.0000 0.5000 0.0000  8 Sc 2.86
Rh: 0.0000 0.0000 0.5000  8 Sc 2.86

No. 6
The following is a DFT calculation (GGA-PBE) of a relaxed Sc2InRh4 crystal.

Its space group is R-3m. The value obtained for the electronic total energy is -6.9089 eV per atom.

abc: 4.4372 4.4372 7.6844
angles: 73.22 73.22 60.00
Last column: nearest neighbours and their distance in Å.
Fractional positions:
Sc: 0.7545 0.7545 0.7366  8 Rh 2.58-2.88
Sc: 0.2455 0.2455 0.2634  8 Rh 2.58-2.88
In: 0.0000 0.0000 0.0000  8 Rh 2.74-2.76
Rh: 0.8732 0.8732 0.3803  4 Sc 2.58-2.70, 1 In 2.76
Rh: 0.1268 0.1268 0.6197  4 Sc 2.58-2.70, 1 In 2.76
Rh: 0.6221 0.6221 0.1336  4 Sc 2.73-2.88, 3 In 2.74
Rh: 0.3779 0.3779 0.8664  4 Sc 2.73-2.88, 3 In 2.74

No. 7
The following is a DFT calculation (GGA-PBE) of a relaxed Sc5InRh crystal.

Its space group is C2/c. The value obtained for the electronic total energy is -6.2652 eV per atom.

abc: 5.3608 5.3608 11.2656
angles: 79.49 79.49 84.95
Last column: nearest neighbours and their distance in Å.
Fractional positions:
Sc: 0.9213 0.5737 0.1206  1 Rh 2.46
Sc: 0.2043 0.5163 0.5748  1 Rh 2.77, 1 Sc 3.03
Sc: 0.5737 0.9213 0.6206  1 Rh 2.46
Sc: 0.9777 0.0223 0.2500  2 Rh 2.82, 1 In 2.94, 4 Sc 3.06-3.09
Sc: 0.4837 0.7957 0.9252  1 Rh 2.77, 1 Sc 3.03
Sc: 0.5163 0.2043 0.0748  1 Rh 2.77, 1 Sc 3.03
Sc: 0.0223 0.9777 0.7500  2 Rh 2.82, 1 In 2.94, 4 Sc 3.06-3.09
Sc: 0.4263 0.0787 0.3794  1 Rh 2.46
Sc: 0.7957 0.4837 0.4252  1 Rh 2.77, 1 Sc 3.03
Sc: 0.0787 0.4263 0.8794  1 Rh 2.46
In: 0.3832 0.6168 0.2500  7 Sc 2.94-3.18
In: 0.6168 0.3832 0.7500  7 Sc 2.94-3.18
Rh: 0.0000 0.0000 0.0000  2 Sc 2.46
Rh: 0.0000 0.0000 0.5000  2 Sc 2.46

No. 8
The following is a DFT calculation (GGA-PBE) of a relaxed Sc2InRh3 crystal.

Its space group is P-3m1. The value obtained for the electronic total energy is -7.1438 eV per atom.

abc: 4.5574 4.5574 11.1733
angles: 90.00 90.00 120.00
Last column: nearest neighbours and their distance in Å.
Fractional positions:
Sc: 0.0000 0.0000 0.5000  8 Rh 2.78-2.84
Sc: 0.3333 0.6667 0.1717  8 Rh 2.76-2.82
Sc: 0.6667 0.3333 0.8283  8 Rh 2.76-2.82
Sc: 0.0000 0.0000 0.0000  8 Rh 2.75-2.78
In: 0.3333 0.6667 0.6675  8 Rh 2.78-2.82
In: 0.6667 0.3333 0.3325  8 Rh 2.78-2.82
Rh: 0.3333 0.6667 0.4183  4 Sc 2.76-2.78, 4 In 2.78-2.80
Rh: 0.6667 0.3333 0.0800  7 Sc 2.78-2.82, 1 In 2.82
Rh: 0.0000 0.0000 0.7537  5 Sc 2.75-2.84, 3 In 2.80
Rh: 0.0000 0.0000 0.2463  5 Sc 2.75-2.84, 3 In 2.80
Rh: 0.3333 0.6667 0.9200  7 Sc 2.78-2.82, 1 In 2.82
Rh: 0.6667 0.3333 0.5817  4 Sc 2.76-2.78, 4 In 2.78-2.80